No. 1
The following is a DFT calculation (PBE) of a relaxed structure of LiDy6Ag5.

```
12
Lattice="-2.575 3.619 7.755 2.575 -3.619 7.755 2.575 3.619 -7.755" Properties=species:S:1:pos:R:3 pbc="T T T"
Li 0.000 0.000 0.000
Dy 2.575 -1.794 5.140
Dy 2.575 1.845 0.000
Dy 0.000 1.825 2.615
Dy 2.575 1.794 5.140
Dy 0.000 1.773 7.755
Dy 0.000 5.413 2.615
Ag 2.575 0.000 2.454
Ag 0.000 0.000 5.165
Ag 0.000 3.619 0.000
Ag 0.000 0.000 10.346
Ag 0.000 3.619 5.301
```

## Properties
* calculated formation energy: -0.256 eV/atom
* DOS at the Fermi energy: 6.95 states/eV/cell
* total magnetic moment: 0.000 μB per cell

***

No. 2
The following is a DFT calculation (PBE) of a relaxed structure of LiDyAg4.

```
6
Lattice="4.093 0.000 0.000 0.000 4.093 0.000 0.000 0.000 7.766" Properties=species:S:1:pos:R:3 pbc="T T T"
Li 0.000 0.000 0.000
Dy 2.046 2.046 3.883
Ag 0.000 2.046 1.639
Ag 0.000 2.046 6.127
Ag 2.046 0.000 1.639
Ag 2.046 0.000 6.127
```

## Properties
* calculated formation energy: 0.041 eV/atom
* DOS at the Fermi energy: 2.98 states/eV/cell
* total magnetic moment: 0.000 μB per cell

***

No. 3
The following is a DFT calculation (PBE) of a relaxed structure of Li2DyAg.

```
4
Lattice="3.347 0.000 0.000 0.000 3.347 0.000 0.000 0.000 7.271" Properties=species:S:1:pos:R:3 pbc="T T T"
Li 0.000 0.000 1.366
Li 0.000 0.000 5.905
Dy 1.673 1.673 3.635
Ag 1.673 1.673 0.000
```

## Properties
* calculated formation energy: -0.016 eV/atom
* DOS at the Fermi energy: 2.05 states/eV/cell
* total magnetic moment: 0.000 μB per cell

***

Question: Which formula does entry 1 have?
Answer: LiDy6Ag5

***

Copy entry 1 word for word.
The following is a DFT calculation (PBE) of a relaxed structure of LiDy6Ag5.

```
12
Lattice="-2.575 3.619 7.755 2.575 -3.619 7.755 2.575 3.619 -7.755" Properties=species:S:1:pos:R:3 pbc="T T T"
Li 0.000 0.000 0.000
Dy 2.575 -1.794 5.140
Dy 2.575 1.845 0.000
Dy 0.000 1.825 2.615
Dy 2.575 1.794 5.140
Dy 0.000 1.773 7.755
Dy 0.000 5.413 2.615
Ag 2.575 0.000 2.454
Ag 0.000 0.000 5.165
Ag 0.000 3.619 0.000
Ag 0.000 0.000 10.346
Ag 0.000 3.619 5.301
```

## Properties
* calculated formation energy: -0.256 eV/atom
* DOS at the Fermi energy: 6.95 states/eV/cell
* total magnetic moment: 0.000 μB per cell

***

Question: Number 3 is which compound?
Answer: Li2DyAg